First-principles (PBEsol) data for a geometry-optimized CoPb2SF structure, as listed in the Alexandria database.

The structure in extended XYZ format:
```
5
Lattice="4.7218 0.0000 0.0000 0.0000 4.7218 0.0000 0.0000 0.0000 4.8534" Properties=species:S:1:pos:R:3 pbc="T T T"
Co 0.0000 0.0000 0.0000
Pb 0.0000 2.3609 2.4267
Pb 2.3609 0.0000 2.4267
S 2.3609 2.3609 0.0000
F 2.3609 2.3609 2.4267
```

Results
Formation energy (no corrections) (eV per atom): 0.29
Crystal system: tetragonal

---

First-principles (PBEsol) data for a geometry-optimized AlSiTe2 structure, as listed in the Alexandria database.

The structure in extended XYZ format:
```
4
Lattice="3.5291 0.0000 0.0000 0.0000 3.5291 0.0000 0.0000 0.0000 7.0044" Properties=species:S:1:pos:R:3 pbc="T T T"
Al 0.0000 0.0000 0.0000
Si 0.0000 0.0000 3.5022
Te 1.7646 1.7646 1.7553
Te 1.7646 1.7646 5.2491
```

Results
ΔE to the lowest computed polymorph (meV/atom): 73
Formation energy (no corrections) (eV per atom): 0.28
Crystal system: tetragonal

---

First-principles (PBEsol) data for a geometry-optimized H8W3SeN2O12 structure, as listed in the Alexandria database.

The structure in extended XYZ format:
```
52
Lattice="7.2324 0.0000 0.0000 -3.6162 6.2634 0.0000 0.0000 0.0000 12.1701" Properties=species:S:1:pos:R:3 pbc="T T T"
H -0.8647 3.7113 0.0000
H 0.0014 3.1808 7.4934
H -0.8623 4.6718 7.4934
H 0.0000 4.1756 1.3950
H 0.0000 4.1756 8.8688
H 0.8344 3.6589 0.0000
H 0.0303 5.1566 0.0000
H 0.8609 4.6742 7.4934
H 2.7553 1.5892 1.4084
H 3.5859 1.1068 6.0850
H 2.7817 2.6045 6.0850
H 3.6162 2.0878 2.7838
H 3.6162 2.0878 7.4800
H 4.4784 1.5916 1.4084
H 3.6148 3.0827 1.4084
H 4.4809 2.5521 6.0850
W -1.8027 5.1489 4.5253
W 0.0585 2.1278 4.5253
W 1.8720 1.0133 10.6104
W 1.7442 5.2501 4.5253
W 3.5577 4.1356 10.6104
W 5.4188 1.1146 10.6104
Se 0.0000 0.0000 1.2961
Se 0.0000 0.0000 7.3812
N 0.0000 4.1756 0.3527
N 0.0000 4.1756 7.8422
N 3.6162 2.0878 1.7572
N 3.6162 2.0878 6.4378
O -1.3399 3.3794 5.1001
O -2.2932 5.4799 10.4775
O -2.2651 5.4666 6.6340
O 0.0171 1.5375 10.4775
O 0.0146 1.5685 6.6340
O -1.4125 4.9581 2.8418
O 0.0286 2.5611 2.8418
O 1.3400 0.7540 4.3925
O 1.3656 0.7716 0.5490
O 2.2323 1.2558 8.9268
O -0.0196 5.7341 5.1001
O 1.3595 3.4134 5.1001
O 2.2567 2.8501 11.1851
O 3.6358 0.5293 11.1851
O 1.3839 5.0076 2.8418
O 2.2506 5.4918 6.6340
O 2.2762 5.5095 10.4775
O 3.5876 3.7023 8.9268
O 5.0287 1.3053 8.9268
O 3.6016 4.6949 0.5490
O 3.5991 4.7260 4.3925
O 5.8813 0.7969 0.5490
O 5.9094 0.7835 4.3925
O 4.9561 2.8841 11.1851
```

Results
Crystal system: hexagonal

---

First-principles (PBEsol) data for a geometry-optimized HgP2Os structure, as listed in the Alexandria database.

The structure in extended XYZ format:
```
4
Lattice="-1.9101 1.9101 4.2183 1.9101 -1.9101 4.2183 1.9101 1.9101 -4.2183" Properties=species:S:1:pos:R:3 pbc="T T T"
Hg 0.0000 0.0000 0.0000
P 1.9101 0.0000 2.1091
P 0.0000 0.0000 4.2183
Os 0.0000 1.9101 2.1091
```

Results
Formation enthalpy at 0 K (meV/atom): 880
Crystal system: tetragonal

---

First-principles (PBEsol) data for a geometry-optimized YCd2 structure, as listed in the Alexandria database.

The structure in extended XYZ format:
```
12
Lattice="-2.2729 2.2729 13.5374 2.2729 -2.2729 13.5374 2.2729 2.2729 -13.5374" Properties=species:S:1:pos:R:3 pbc="T T T"
Y 2.2729 1.1365 1.1939
Y 2.2729 1.1365 5.5748
Y 0.0000 1.1365 7.9625
Y 0.0000 1.1365 12.3435
Cd 2.2729 -1.1365 7.9079
Cd 2.2729 1.1365 -3.3404
Cd 2.2729 -1.1365 12.3982
Cd 0.0000 1.1365 3.4283
Cd 2.2729 1.1365 10.1091
Cd 0.0000 3.4094 1.1392
Cd 0.0000 1.1365 16.8777
Cd 0.0000 3.4094 5.6295
```

Results
Formation enthalpy at 0 K (meV/atom): -266
Crystal system: tetragonal

---

First-principles (PBEsol) data for a geometry-optimized TaIn2Pt structure, as listed in the Alexandria database.

The structure in extended XYZ format:
```
4
Lattice="2.9451 -4.7599 0.0000 2.9451 4.7599 0.0000 -1.2510 0.0000 2.6383" Properties=species:S:1:pos:R:3 pbc="T T T"
Ta 0.0000 0.0000 0.0000
In 0.8470 2.3799 1.3191
In 0.8470 -2.3799 1.3191
Pt 2.9451 0.0000 0.0000
```

Results
ΔE to the lowest computed polymorph (meV/atom): 98
Formation enthalpy at 0 K (meV/atom): 42
Crystal system: monoclinic

---

First-principles (PBEsol) data for a geometry-optimized YMoPb structure, as listed in the Alexandria database.

The structure in extended XYZ format:
```
3
Lattice="3.4108 0.0000 0.0000 -1.7054 2.9538 0.0000 0.0000 0.0000 6.8480" Properties=species:S:1:pos:R:3 pbc="T T T"
Y 0.0000 0.0000 0.0000
Mo 0.0000 1.9692 4.6879
Pb 1.7054 0.9846 2.6426
```

Results
ΔE to the lowest computed polymorph (meV/atom): 0
Formation enthalpy at 0 K (meV/atom): 436
Crystal system: trigonal

---

First-principles (PBEsol) data for a geometry-optimized ScSnAsSe2 structure, as listed in the Alexandria database.

The structure in extended XYZ format:
```
5
Lattice="5.0558 0.0000 0.0000 0.0000 5.0558 0.0000 0.0000 0.0000 5.0734" Properties=species:S:1:pos:R:3 pbc="T T T"
Sc 0.0000 0.0000 0.0000
Sn 2.5279 2.5279 2.5367
As 0.0000 0.0000 2.5367
Se 0.0000 2.5279 0.0000
Se 2.5279 0.0000 0.0000
```

Results
Formation energy (no corrections) (eV per atom): -0.29
Crystal system: tetragonal

---

First-principles (PBEsol) data for a geometry-optimized CoNiIr2 structure, as listed in the Alexandria database.

The structure in extended XYZ format:
```
4
Lattice="1.3189 0.7615 8.2552 -1.3189 0.7615 8.2552 0.0000 -1.5230 8.2552" Properties=species:S:1:pos:R:3 pbc="T T T"
Co 0.0000 0.0000 0.0000
Ni 0.0000 0.0000 12.3829
Ir 0.0000 0.0000 6.2070
Ir 0.0000 0.0000 18.5587
```

Results
ΔE to the lowest computed polymorph (meV/atom): 36
Formation enthalpy at 0 K (meV/atom): 30
Crystal system: trigonal

---

First-principles (PBEsol) data for a geometry-optimized Zr2CoBr structure, as listed in the Alexandria database.

The structure in extended XYZ format:
```
4
Lattice="3.0961 0.0000 0.0000 0.0000 3.0961 0.0000 0.0000 0.0000 7.3903" Properties=species:S:1:pos:R:3 pbc="T T T"
Zr 0.0000 0.0000 1.6098
Zr 0.0000 0.0000 5.7805
Co 1.5480 1.5480 0.0000
Br 1.5480 1.5480 3.6952
```

Results
ΔE to the lowest computed polymorph (meV/atom): 0
Formation energy (no corrections) (eV per atom): -0.31
Crystal system: tetragonal

---

First-principles (PBEsol) data for a geometry-optimized SrBeHg2 structure, as listed in the Alexandria database.

The structure in extended XYZ format:
```
4
Lattice="-2.2433 2.7686 3.8269 2.2433 -2.7686 3.8269 2.2433 2.7686 -3.8269" Properties=species:S:1:pos:R:3 pbc="T T T"
Sr 0.0000 0.0000 0.0000
Be 2.2433 0.0000 2.5696
Hg 0.0000 0.0000 3.2327
Hg 0.0000 2.7686 1.5201
```

Results
Formation enthalpy at 0 K (meV/atom): -23
Crystal system: orthorhombic

---

First-principles (PBEsol) data for a geometry-optimized HoSi2Rh2 structure, as listed in the Alexandria database.

The structure in extended XYZ format:
```
5
Lattice="-1.9997 1.9997 4.9398 1.9997 -1.9997 4.9398 1.9997 1.9997 -4.9398" Properties=species:S:1:pos:R:3 pbc="T T T"
Ho 0.0000 0.0000 0.0000
Si 0.0000 0.0000 3.7444
Si 0.0000 0.0000 6.1352
Rh 1.9997 0.0000 2.4699
Rh 0.0000 1.9997 2.4699
```

Results
Formation energy (no corrections) (eV per atom): -1.17
Crystal system: tetragonal

---

Result set for theoretical density: 8.0; 5.9; 5.2; 12.2; 7.4; 13.6; 9.4; 5.1; 16.8; 7.5; 8.7; 9.0 g/cm³, one per record in the order listed.
Result set for total moment: 0.380; 0.000; 0.000; 0.000; 0.000; 0.000; 0.000; 0.000; 0.422; 0.240; 0.000; 0.000 μB/atom, one per record in the order listed.
Result set for raw total energy: -20.6; -15.8; -374.4; -20.8; -40.1; -25.3; -21.3; -25.1; -33.4; -29.0; -7.1; -38.6 eV for the cell shown, one per record in the order listed.